1.
Density functional theory data (PBE) for crystalline Cs3Hg7Sb2 at its relaxed geometry.

a b c (Å): 5.567 6.492 13.967
angles (deg): 109.34 90.00 90.00
Fractional coordinates of all 12 atoms:
1 Hg 0.000 0.790 0.601
2 Hg 0.500 0.102 0.249
3 Hg 0.000 0.210 0.399
4 Hg 0.000 0.000 0.000
5 Hg 0.000 0.822 0.195
6 Hg 0.000 0.178 0.805
7 Hg 0.500 0.898 0.751
8 Cs 0.500 0.320 0.620
9 Cs 0.500 0.680 0.380
10 Cs 0.500 0.500 0.000
11 Sb 0.000 0.347 0.180
12 Sb 0.000 0.653 0.820

For the density, the calculation gives 7.13 Mg/m³. The total energy is -1.2870 eV per atom. For the formation energy from raw total energies, the calculation gives -2.53 eV per formula unit.

---

2.
Density functional theory data (PBE) for crystalline Ac2La8Sm at its relaxed geometry.

a b c (Å): 7.075 10.634 10.634
angles (deg): 38.72 58.97 58.97
Fractional coordinates of all 11 atoms:
1 La 0.232 0.352 0.815
2 La 0.269 0.409 0.409
3 La 0.731 0.591 0.591
4 La 0.768 0.185 0.648
5 La 0.232 0.815 0.352
6 La 0.158 0.756 0.756
7 La 0.768 0.648 0.185
8 La 0.842 0.244 0.244
9 Ac 0.572 0.805 0.805
10 Ac 0.428 0.195 0.195
11 Sm 0.000 0.000 0.000

For the density, the calculation gives 6.80 Mg/m³. The calculation puts the excess energy over the best structure of this formula in the dataset at 0.0000 eV/atom. The total energy is -4.6444 eV per atom.

---

3.
Density functional theory data (PBE) for crystalline K2CaGaSb at its relaxed geometry.

a b c (Å): 6.694 5.937 6.694
angles (deg): 90.00 90.00 90.00
Site moments in Bohr magnetons follow the coordinates.
Fractional coordinates of all 5 atoms:
1 K 0.500 0.000 0.000  0.01
2 K 0.000 0.000 0.500  0.01
3 Ga 0.500 0.500 0.500  0.28
4 Ca 0.000 0.500 0.000  0.05
5 Sb 0.000 0.000 0.000  0.03

For the density, the calculation gives 1.93 Mg/m³. The total energy is -2.2422 eV per atom. For the formation energy from raw total energies, the calculation gives 0.13 eV per formula unit.

---

4.
Density functional theory data (PBE) for crystalline Mg2BiBr at its relaxed geometry.

a b c (Å): 4.670 5.073 10.368
angles (deg): 90.00 98.09 90.00
Fractional coordinates of all 8 atoms:
1 Mg 0.876 0.750 0.844
2 Mg 0.750 0.750 0.480
3 Mg 0.250 0.250 0.520
4 Mg 0.124 0.250 0.156
5 Br 0.770 0.250 0.924
6 Br 0.230 0.750 0.076
7 Bi 0.690 0.250 0.334
8 Bi 0.310 0.750 0.666

For the density, the calculation gives 4.61 Mg/m³. The calculation puts the excess energy over the best structure of this formula in the dataset at 0.0039 eV/atom. The total energy is -2.8203 eV per atom. For the formation energy from raw total energies, the calculation gives -2.54 eV per formula unit.

---

5.
Density functional theory data (PBE) for crystalline YMoP at its relaxed geometry.

a b c (Å): 3.556 3.556 5.528
angles (deg): 90.00 90.00 120.00
Fractional coordinates of all 3 atoms:
1 Y 0.333 0.667 0.629
2 P 0.667 0.333 0.295
3 Mo 0.000 0.000 0.076

For the density, the calculation gives 5.92 Mg/m³. The total energy is -8.0157 eV per atom.

---

6.
Density functional theory data (PBE) for crystalline Y2ZrHg at its relaxed geometry.

a b c (Å): 4.567 4.749 4.749
angles (deg): 90.00 90.00 90.00
Fractional coordinates of all 4 atoms:
1 Y 0.000 0.500 0.500
2 Y 0.000 0.000 0.000
3 Zr 0.500 0.500 0.000
4 Hg 0.500 0.000 0.500

For the density, the calculation gives 7.57 Mg/m³. The total energy is -5.5220 eV per atom.

---

7.
Density functional theory data (PBE) for crystalline Mg2VBr at its relaxed geometry.

a b c (Å): 5.112 5.112 5.112
angles (deg): 60.00 60.00 60.00
Site moments in Bohr magnetons follow the coordinates.
Fractional coordinates of all 4 atoms:
1 Mg 0.750 0.750 0.750  -0.01
2 Mg 0.250 0.250 0.250  -0.01
3 Br 0.500 0.500 0.500  0.00
4 V 0.000 0.000 0.000  2.93

For the density, the calculation gives 3.16 Mg/m³. The calculation puts the excess energy over the best structure of this formula in the dataset at 0.2516 eV/atom. The total energy is -2.9233 eV per atom. For the formation energy from raw total energies, the calculation gives 2.29 eV per formula unit.

---

8.
Density functional theory data (PBE) for crystalline Na5Sr6Ir at its relaxed geometry.

a b c (Å): 7.478 11.511 8.706
angles (deg): 117.58 97.14 117.48
Fractional coordinates of all 12 atoms:
1 Na 0.762 0.262 0.524
2 Na 0.618 0.618 0.236
3 Na 0.382 0.382 0.764
4 Na 0.000 0.500 0.000
5 Na 0.238 0.738 0.476
6 Sr 0.844 0.031 0.706
7 Sr 0.446 0.160 0.000
8 Sr 0.156 0.969 0.294
9 Sr 0.554 0.840 0.000
10 Sr 0.138 0.325 0.294
11 Sr 0.862 0.675 0.706
12 Ir 0.000 0.000 0.000

For the density, the calculation gives 2.60 Mg/m³. The total energy is -2.1616 eV per atom.

---

Repeat the first record exactly.
Density functional theory data (PBE) for crystalline Cs3Hg7Sb2 at its relaxed geometry.

a b c (Å): 5.567 6.492 13.967
angles (deg): 109.34 90.00 90.00
Fractional coordinates of all 12 atoms:
1 Hg 0.000 0.790 0.601
2 Hg 0.500 0.102 0.249
3 Hg 0.000 0.210 0.399
4 Hg 0.000 0.000 0.000
5 Hg 0.000 0.822 0.195
6 Hg 0.000 0.178 0.805
7 Hg 0.500 0.898 0.751
8 Cs 0.500 0.320 0.620
9 Cs 0.500 0.680 0.380
10 Cs 0.500 0.500 0.000
11 Sb 0.000 0.347 0.180
12 Sb 0.000 0.653 0.820

For the density, the calculation gives 7.13 Mg/m³. The total energy is -1.2870 eV per atom. For the formation energy from raw total energies, the calculation gives -2.53 eV per formula unit.